DFT (PBE-GGA) results for crystalline HfSn3N at its relaxed geometry.

## Properties
Energy relative to the elements, uncorrected   1.307 eV/atom
Space-group type   Pm-3m, No. 221

abc: 5.5638 5.5638 5.5638
angles: 90.00 90.00 90.00
With the nearest neighbours (Å) after each atom.
Positions (direct):
Hf 0.0000 0.0000 0.0000  6 Sn 2.78
Sn 0.0000 0.5000 0.0000  2 Hf 2.78
Sn 0.0000 0.0000 0.5000  2 Hf 2.78
Sn 0.5000 0.0000 0.0000  2 Hf 2.78
N 0.5000 0.5000 0.5000  12 Sn 3.93



DFT (PBE-GGA) results for crystalline HfSn3N at its relaxed geometry.

## Properties
Energy relative to the elements, uncorrected   0.456 eV/atom
Space-group type   Pm-3m, No. 221

abc: 4.6819 4.6819 4.6819
angles: 90.00 90.00 90.00
With the nearest neighbours (Å) after each atom.
Positions (direct):
Hf 0.5000 0.5000 0.5000  12 Sn 3.31
Sn 0.0000 0.5000 0.0000  2 N 2.34
Sn 0.0000 0.0000 0.5000  2 N 2.34
Sn 0.5000 0.0000 0.0000  2 N 2.34
N 0.0000 0.0000 0.0000  6 Sn 2.34



DFT (PBE-GGA) results for crystalline HfSn2N2 at its relaxed geometry.

## Properties
Energy relative to the elements, uncorrected   -0.072 eV/atom
Space-group type   P4/mbm, No. 127

abc: 6.3561 6.3561 4.1583
angles: 90.00 90.00 90.00
With the nearest neighbours (Å) after each atom.
Positions (direct):
Hf 0.0000 0.0000 0.0000  4 N 2.25
Hf 0.5000 0.5000 0.0000  4 N 2.25
Sn 0.1589 0.6589 0.5000  2 N 2.23
Sn 0.6589 0.8411 0.5000  2 N 2.23
Sn 0.8411 0.3411 0.5000  2 N 2.23
Sn 0.3411 0.1589 0.5000  2 N 2.23
N 0.2476 0.7476 0.0000  2 Sn 2.23, 2 Hf 2.25
N 0.7476 0.7524 0.0000  2 Sn 2.23, 2 Hf 2.25
N 0.7524 0.2524 0.0000  2 Sn 2.23, 2 Hf 2.25
N 0.2524 0.2476 0.0000  2 Sn 2.23, 2 Hf 2.25